Below is crystalline Ag3Hg2Pd3 at its relaxed geometry, with properties calculated at the PBE level.

Values from the calculation:
DFT formation energy	-0.038	eV per atom
E	-0.11503	Ha/atom

a b c (Å): 13.0230 4.8523 4.8484
angles (deg): 90.00 111.77 90.00
Closest atoms and distances in Å follow each position.
Space group C2/m (No. 12)
One atom of each set of equivalent atoms:
Ag (0.0000, 0.0000, 0.0000) (multiplicity 2)  4 Ag 2.83, 4 Pd 2.84, 2 Hg 3.07
Ag (0.1207, 0.0000, 0.6204) (multiplicity 4)  3 Ag 2.83-2.92, 3 Pd 2.83-3.10, 4 Hg 2.86-2.91
Hg (0.2462, 0.5000, 0.7465) (multiplicity 4)  5 Pd 2.84-2.98, 5 Ag 2.86-3.07
Pd (0.0000, 0.5000, 0.5000) (multiplicity 2)  4 Ag 2.83, 4 Pd 2.84, 2 Hg 2.98
Pd (0.1227, 0.5000, 0.1227) (multiplicity 4)  3 Pd 2.84-2.97, 3 Ag 2.84-3.10, 4 Hg 2.84-2.90